DFT (PBE+U) results for a relaxed CrTc2F crystal.

Cell lengths 4.1796, 4.1796, 4.1796 Å; angles 60.00, 60.00, 60.00 degrees
With the nearest neighbours (Å) after each atom.
Element x y z (fractional)
Cr: 0.5000 0.5000 0.5000  8 Tc 2.56
Tc: 0.2500 0.2500 0.2500  4 Cr 2.56, 4 F 2.56
Tc: 0.7500 0.7500 0.7500  4 Cr 2.56, 4 F 2.56
F: 0.0000 0.0000 0.0000  8 Tc 2.56

Summary:
Fermi-level density of states = 3.7 states/eV per cell
Space group = Fm-3m, No. 225
E above lowest polymorph = 0 meV per atom
E_tot = -0.4936 Ry per atom
V = 12.9 A^3/atom